# 1
# IrPt | Alexandria | GGA-PBE | relaxed
data_IrPt
_cell_length_a 4.762
_cell_length_b 4.604
_cell_length_c 5.535
_cell_angle_alpha 90.00
_cell_angle_beta 90.00
_cell_angle_gamma 90.00
_symmetry_space_group_name_H-M 'P n m a'
_symmetry_Int_Tables_number 62
loop_
_symmetry_equiv_pos_as_xyz
'x,y,z'
'-x,-y,-z'
'-x+1/2,-y,z+1/2'
'x+1/2,y,-z+1/2'
'x+1/2,-y+1/2,-z+1/2'
'-x+1/2,y+1/2,z+1/2'
'-x,y+1/2,-z'
'x,-y+1/2,z'
loop_
_atom_site_label
_atom_site_type_symbol
_atom_site_fract_x
_atom_site_fract_y
_atom_site_fract_z
_atom_site_occupancy
Ir1 Ir 0.082 0.250 0.128 1
Pt1 Pt 0.086 0.250 0.624 1
# - Total moment: 0.00 μB per formula unit
# - Formation enthalpy at 0 K: 0.16 eV per atom

---

# 2
# IrPt | Alexandria | GGA-PBE | relaxed
data_IrPt
_cell_length_a 7.525
_cell_length_b 5.238
_cell_length_c 4.715
_cell_angle_alpha 90.00
_cell_angle_beta 90.00
_cell_angle_gamma 90.00
_symmetry_space_group_name_H-M 'P m n 21'
_symmetry_Int_Tables_number 31
loop_
_symmetry_equiv_pos_as_xyz
'x,y,z'
'-x+1/2,-y,z+1/2'
'-x,y,z'
'x+1/2,-y,z+1/2'
loop_
_atom_site_label
_atom_site_type_symbol
_atom_site_fract_x
_atom_site_fract_y
_atom_site_fract_z
_atom_site_occupancy
Ir1 Ir 0.000 0.210 0.000 1
Ir2 Ir 0.179 0.558 0.667 1
Pt1 Pt 0.000 0.701 0.157 1
Pt2 Pt 0.178 0.065 0.509 1
# - Total moment: 0.00 μB per formula unit
# - Formation enthalpy at 0 K: 0.20 eV per atom

---

# 3
# IrPt | Alexandria | GGA-PBE | relaxed
data_IrPt
_cell_length_a 2.7705
_cell_length_b 2.7705
_cell_length_c 13.6096
_cell_angle_alpha 90.00
_cell_angle_beta 90.00
_cell_angle_gamma 120.00
_symmetry_space_group_name_H-M 'R -3 m'
_symmetry_Int_Tables_number 166
_symmetry_space_group_name_Hall '-R 3 2"'
loop_
_atom_site_label
_atom_site_type_symbol
_atom_site_fract_x
_atom_site_fract_y
_atom_site_fract_z
_atom_site_occupancy
Ir1 Ir 0.0000 0.0000 0.0000 1
Pt1 Pt 0.0000 0.0000 0.5000 1
# - Total moment: 0.00 μB per formula unit
# - Formation enthalpy at 0 K: 0.09 eV per atom